Below is a geometry-optimized SrZn2 structure, with properties calculated at the GGA-PBE level.

Lattice parameters (Å, degrees): 3.644 14.745 5.220 90.00 90.00 90.00
Positions (direct):
Sr (0.000, 0.086, 0.250)
Sr (0.000, 0.914, 0.750)
Sr (0.500, 0.414, 0.750)
Sr (0.500, 0.586, 0.250)
Zn (0.000, 0.235, 0.750)
Zn (0.000, 0.390, 0.250)
Zn (0.000, 0.610, 0.750)
Zn (0.000, 0.765, 0.250)
Zn (0.500, 0.110, 0.750)
Zn (0.500, 0.265, 0.250)
Zn (0.500, 0.735, 0.750)
Zn (0.500, 0.890, 0.250)

Mass density, kg/m3: 5173
Space group: Cmcm
Final energy, eV/atom: -1.490